# 1
Entry from the Alexandria database: crystalline NaMgSnPb at its relaxed geometry (GGA-PBE).

abc: 3.438 3.438 8.966
angles: 90.00 90.00 90.00
Fractional coordinates of all 4 atoms:
Na: 0.000 0.000 0.080
Mg: 0.000 0.000 0.562
Sn: 0.500 0.500 0.345
Pb: 0.500 0.500 0.798

Output
The polymorph energy (0 for the lowest one) is 0.0 meV/atom. The value obtained for the density is 5.8 g/cm³. The density of states at the Fermi level is 1.85 states/eV per cell. The value obtained for the total energy is -2.80 eV/atom. For the formation energy, the calculation gives -0.15 eV per atom. Its space group is No. 99.

# 2
Entry from the Alexandria database: crystalline NaMgSnPb at its relaxed geometry (GGA-PBE).

abc: 5.280 5.280 5.280
angles: 60.00 60.00 60.00
Fractional coordinates of all 4 atoms:
Pb: 0.750 0.750 0.750
Na: 0.500 0.500 0.500
Mg: 0.000 0.000 0.000
Sn: 0.250 0.250 0.250

Output
The polymorph energy (0 for the lowest one) is 19.0 meV/atom. The value obtained for the density is 6.0 g/cm³. The density of states at the Fermi level is 1.17 states/eV per cell. The value obtained for the total energy is -2.78 eV/atom. For the formation energy, the calculation gives -0.13 eV per atom. Its space group is No. 216.